# 1
# AlFe2Au

AlFe2Au after structural relaxation (PBE, the Alexandria database).

Calculated values
The value obtained for the density of states at the Fermi level is 2.6 states/eV/cell. The value obtained for the total magnetic moment is 4.76 μB/cell. The value obtained for the formation energy is -0.133 eV per atom. The volume is 13.860 Å³ per atom.

```
AlFe2Au
1.0
3.689 0.000 0.000
0.000 3.707 0.000
0.000 0.000 4.055
Al Fe Au
1 2 1
direct
0.500 0.000 0.500
0.000 0.000 0.000
0.500 0.500 0.000
0.000 0.500 0.500
```

---

# 2
# AlFe2Au

AlFe2Au after structural relaxation (PBE, the Alexandria database).

Calculated values
The value obtained for the density of states at the Fermi level is 3.5 states/eV/cell. The value obtained for the total magnetic moment is 4.37 μB/cell. The value obtained for the formation energy is 0.083 eV per atom. The volume is 14.118 Å³ per atom.

```
AlFe2Au
1.0
-8.187 0.505 3.385
-7.797 -2.188 3.628
-6.888 -0.496 5.572
Au Fe Al
1 2 1
direct
0.750 0.750 0.750
0.995 0.995 0.995
0.505 0.505 0.505
0.250 0.250 0.250
```

---

# 3
# AlFeAu2

AlFeAu2 after structural relaxation (PBE, the Alexandria database).

Calculated values
The value obtained for the density of states at the Fermi level is 2.2 states/eV/cell. The value obtained for the total magnetic moment is 2.77 μB/cell. The value obtained for the formation energy is -0.094 eV per atom. The volume is 15.770 Å³ per atom.

```
AlFeAu2
1.0
4.953 -0.015 0.030
4.079 2.810 0.030
1.288 0.399 4.520
Au Fe Al
2 1 1
direct
0.984 0.984 0.037
0.761 0.761 0.717
0.516 0.516 0.513
0.240 0.240 0.233
```

---

# 4
# Al2FeAu

Al2FeAu after structural relaxation (PBE, the Alexandria database).

Calculated values
The value obtained for the density of states at the Fermi level is 2.9 states/eV/cell. The value obtained for the total magnetic moment is 1.83 μB/cell. The value obtained for the formation energy is -0.153 eV per atom. The volume is 14.933 Å³ per atom.

```
Al2FeAu
1.0
-5.611 3.088 -5.667
-3.847 1.696 -7.448
-5.961 0.280 -6.126
Al Fe Au
2 1 1
direct
0.008 0.008 0.008
0.492 0.492 0.492
0.750 0.750 0.750
0.250 0.250 0.250
```

---

# 5
# Al2FeAu

Al2FeAu after structural relaxation (PBE, the Alexandria database).

Calculated values
The value obtained for the density of states at the Fermi level is 2.4 states/eV/cell. The value obtained for the total magnetic moment is 0.91 μB/cell. The value obtained for the formation energy is -0.188 eV per atom. The volume is 14.325 Å³ per atom.

```
Al2FeAu
1.0
4.684 0.019 -0.014
1.441 4.457 0.014
-3.055 -2.248 2.748
Al Fe Au
2 1 1
direct
0.500 0.500 0.000
0.000 0.000 0.000
0.250 0.750 0.500
0.750 0.250 0.500
```

---

# 6
# AlFeAu3

AlFeAu3 after structural relaxation (PBE, the Alexandria database).

Calculated values
The value obtained for the density of states at the Fermi level is 2.8 states/eV/cell. Its excess energy over the best structure of this formula in the dataset is 21 meV per atom. The value obtained for the total magnetic moment is 3.17 μB/cell. The value obtained for the formation energy is 0.701 eV per atom. The volume is 23.067 Å³ per atom.

```
AlFeAu3
1.0
4.868 0.000 0.000
0.000 4.868 0.000
0.000 0.000 4.868
Fe Al Au
1 1 3
direct
0.000 0.000 0.000
0.500 0.500 0.500
0.500 0.000 0.000
0.000 0.000 0.500
0.000 0.500 0.000
```

---

# 7
# Al5Fe4Au

Al5Fe4Au after structural relaxation (PBE, the Alexandria database).

Calculated values
The value obtained for the density of states at the Fermi level is 10.2 states/eV/cell. The value obtained for the total magnetic moment is 2.01 μB/cell. The value obtained for the formation energy is -0.330 eV per atom. The volume is 12.737 Å³ per atom.

```
Al5Fe4Au
1.0
2.903 0.000 0.000
0.000 2.903 0.000
0.000 0.000 15.111
Fe Al Au
4 5 1
direct
0.000 0.000 0.217
0.000 0.000 0.407
0.000 0.000 0.593
0.000 0.000 0.783
0.500 0.500 0.128
0.500 0.500 0.311
0.500 0.500 0.689
0.500 0.500 0.500
0.500 0.500 0.872
0.000 0.000 0.000
```

---

# 8
# AlFe2Au

AlFe2Au after structural relaxation (PBE, the Alexandria database).

Calculated values
The value obtained for the density of states at the Fermi level is 2.3 states/eV/cell. The value obtained for the total magnetic moment is 4.71 μB/cell. The value obtained for the formation energy is -0.038 eV per atom. The volume is 13.911 Å³ per atom.

```
AlFe2Au
1.0
-2.747 0.092 0.167
0.151 -0.516 2.700
0.324 7.206 1.360
Au Fe Al
1 2 1
direct
0.500 0.500 0.750
0.000 0.000 0.479
0.000 0.000 0.021
0.500 0.500 0.250
```

---

# 9
# Al2FeAu

Al2FeAu after structural relaxation (PBE, the Alexandria database).

Calculated values
The value obtained for the density of states at the Fermi level is 1.6 states/eV/cell. The value obtained for the total magnetic moment is 1.41 μB/cell. The value obtained for the formation energy is -0.240 eV per atom. The volume is 14.206 Å³ per atom.

```
Al2FeAu
1.0
3.735 -1.963 -0.904
0.020 -4.131 -1.248
0.971 -1.017 -4.080
Fe Au Al
1 1 2
direct
0.000 0.000 0.000
0.500 0.500 0.500
0.250 0.250 0.250
0.750 0.750 0.750
```

---

# 10
# Al4FeAu

Al4FeAu after structural relaxation (PBE, the Alexandria database).

Calculated values
The value obtained for the density of states at the Fermi level is 4.3 states/eV/cell. Its excess energy over the best structure of this formula in the dataset is 480 meV per atom. The value obtained for the total magnetic moment is 1.34 μB/cell. The value obtained for the formation energy is 0.221 eV per atom. The volume is 15.720 Å³ per atom.

```
Al4FeAu
1.0
0.000 3.613 3.613
3.613 0.000 3.613
3.613 3.613 0.000
Al Fe Au
4 1 1
direct
0.375 0.375 0.375
0.375 0.876 0.375
0.375 0.375 0.876
0.876 0.375 0.375
0.000 0.000 0.000
0.750 0.750 0.750
```

---

# 11
# AlFe2Au

AlFe2Au after structural relaxation (PBE, the Alexandria database).

Calculated values
The value obtained for the density of states at the Fermi level is 1.9 states/eV/cell. The value obtained for the total magnetic moment is 5.02 μB/cell. The value obtained for the formation energy is -0.144 eV per atom. The volume is 13.919 Å³ per atom.

```
AlFe2Au
1.0
4.840 0.021 0.004
3.414 3.430 0.004
1.411 0.590 3.370
Al Fe Au
1 2 1
direct
0.750 0.750 0.750
0.000 0.000 0.000
0.500 0.500 0.500
0.250 0.250 0.250
```

---

# 12
# AlFeAu2

AlFeAu2 after structural relaxation (PBE, the Alexandria database).

Calculated values
The value obtained for the density of states at the Fermi level is 3.2 states/eV/cell. The value obtained for the total magnetic moment is 2.48 μB/cell. The value obtained for the formation energy is -0.011 eV per atom. The volume is 15.992 Å³ per atom.

```
AlFeAu2
1.0
8.900 -0.021 -0.013
8.433 2.848 -0.013
8.433 1.375 2.494
Au Fe Al
2 1 1
direct
0.243 0.243 0.243
0.007 0.007 0.007
0.495 0.495 0.495
0.755 0.755 0.755
```

---

# 13
# Al2FeAu2

Al2FeAu2 after structural relaxation (PBE, the Alexandria database).

Calculated values
The value obtained for the density of states at the Fermi level is 5.3 states/eV/cell. Its excess energy over the best structure of this formula in the dataset is 0 meV per atom. The value obtained for the total magnetic moment is 5.14 μB/cell. The value obtained for the formation energy is -0.052 eV per atom. The volume is 16.437 Å³ per atom.

```
Al2FeAu2
1.0
7.323 0.000 0.000
0.000 7.323 0.000
0.000 0.000 3.065
Al Au Fe
4 4 2
direct
0.836 0.336 0.500
0.336 0.164 0.500
0.664 0.836 0.500
0.164 0.664 0.500
0.361 0.861 0.000
0.639 0.139 0.000
0.861 0.639 0.000
0.139 0.361 0.000
0.000 0.000 0.000
0.500 0.500 0.000
```

---

# 14
# AlFe2Au

AlFe2Au after structural relaxation (PBE, the Alexandria database).

Calculated values
The value obtained for the density of states at the Fermi level is 2.3 states/eV/cell. The value obtained for the total magnetic moment is 4.78 μB/cell. The value obtained for the formation energy is -0.137 eV per atom. The volume is 13.884 Å³ per atom.

```
AlFe2Au
1.0
3.079 0.000 0.000
0.000 3.078 0.000
0.000 0.000 5.861
Fe Al Au
2 1 1
direct
0.500 0.500 0.240
0.000 0.000 0.038
0.000 0.000 0.475
0.500 0.500 0.747
```

---

# 15
# AlFeAu2

AlFeAu2 after structural relaxation (PBE, the Alexandria database).

Calculated values
The value obtained for the density of states at the Fermi level is 2.7 states/eV/cell. The value obtained for the total magnetic moment is 2.76 μB/cell. The value obtained for the formation energy is -0.018 eV per atom. The volume is 16.083 Å³ per atom.

```
AlFeAu2
1.0
4.651 0.003 -0.002
3.762 2.734 -0.002
0.865 0.281 5.063
Au Fe Al
2 1 1
direct
0.004 0.004 0.001
0.496 0.496 0.499
0.250 0.250 0.250
0.750 0.750 0.750
```

---

# 16
# Al2FeAu

Al2FeAu after structural relaxation (PBE, the Alexandria database).

Calculated values
The value obtained for the density of states at the Fermi level is 2.3 states/eV/cell. The value obtained for the total magnetic moment is 2.28 μB/cell. The value obtained for the formation energy is -0.056 eV per atom. The volume is 15.191 Å³ per atom.

```
Al2FeAu
1.0
-0.955 -1.575 -2.089
-0.878 -1.901 1.836
-6.932 3.623 0.438
Au Fe Al
1 1 2
direct
0.000 0.000 0.508
0.500 0.500 0.764
0.000 0.000 0.981
0.500 0.500 0.247
```

---

# 17
# AlFe2Au

AlFe2Au after structural relaxation (PBE, the Alexandria database).

Calculated values
The value obtained for the density of states at the Fermi level is 3.0 states/eV/cell. The value obtained for the total magnetic moment is 4.79 μB/cell. The value obtained for the formation energy is -0.062 eV per atom. The volume is 14.087 Å³ per atom.

```
AlFe2Au
1.0
-0.594 4.208 0.093
-2.517 -0.331 -1.109
-1.863 -0.360 4.393
Al Fe Au
1 2 1
direct
0.000 0.627 0.453
0.500 0.120 0.272
0.000 0.129 0.999
0.500 0.624 0.775
```

---

# 18
# AlFe2Au

AlFe2Au after structural relaxation (PBE, the Alexandria database).

Calculated values
The value obtained for the density of states at the Fermi level is 3.5 states/eV/cell. The value obtained for the total magnetic moment is 4.71 μB/cell. The value obtained for the formation energy is 0.061 eV per atom. The volume is 14.396 Å³ per atom.

```
AlFe2Au
1.0
8.405 -0.076 -0.045
7.951 2.727 -0.045
7.951 1.289 2.404
Au Fe Al
1 2 1
direct
0.749 0.749 0.749
0.991 0.991 0.991
0.253 0.253 0.253
0.507 0.507 0.507
```

---

# 19
# AlFe3Au

AlFe3Au after structural relaxation (PBE, the Alexandria database).

Calculated values
The value obtained for the density of states at the Fermi level is 5.7 states/eV/cell. Its excess energy over the best structure of this formula in the dataset is 294 meV per atom. The value obtained for the total magnetic moment is 9.41 μB/cell. The value obtained for the formation energy is 1.295 eV per atom. The volume is 21.359 Å³ per atom.

```
AlFe3Au
1.0
4.744 0.000 0.000
0.000 4.744 0.000
0.000 0.000 4.744
Fe Al Au
3 1 1
direct
0.500 0.000 0.000
0.000 0.000 0.500
0.000 0.500 0.000
0.500 0.500 0.500
0.000 0.000 0.000
```

---

# 20
# AlFeAu2

AlFeAu2 after structural relaxation (PBE, the Alexandria database).

Calculated values
The value obtained for the density of states at the Fermi level is 2.6 states/eV/cell. The value obtained for the total magnetic moment is 2.53 μB/cell. The value obtained for the formation energy is -0.097 eV per atom. The volume is 15.771 Å³ per atom.

```
AlFeAu2
1.0
-1.482 -3.128 1.561
1.345 -2.209 -3.150
3.503 -0.677 1.971
Al Au Fe
1 2 1
direct
0.500 0.000 0.000
0.000 0.000 0.500
0.000 0.500 0.000
0.500 0.500 0.500
```